AlPb3, relaxed, DFT PBE; excess energy over the best structure of this formula in the dataset = 0.076 eV per atom; energy relative to the elements = 0.817 eV/f.u.; symmetry = No. 166; total magnetic moment = 0.0 μB/f.u.
1.0
5.4866 3.1677 1.1093
-5.4866 3.1677 1.1093
0.0000 -6.3354 1.1093
Al Pb
1 3
Cartesian
0.0000 0.0000 0.0000
-2.7433 -1.5838 1.1093
-2.7433 1.5838 2.2187
0.0000 3.1677 1.1093